*1*
TiCu2Pd5: optimized geometry, PBE.

Calculated values
DOS(E_F)   3.242 states/eV/f.u.

a b c (Å): 7.2485 7.2485 7.2485
angles (deg): 126.53 126.53 79.02
Last column: nearest neighbours and their distance in Å.
Sites, in units of the cell vectors:
Ti (0.2500, 0.2500, 0.0000)  10 Pd 2.67-2.80
Ti (0.7500, 0.7500, 0.0000)  10 Pd 2.67-2.80
Cu (0.1370, 0.6370, 0.7739)  1 Cu 2.53, 8 Pd 2.53-2.61
Cu (0.3630, 0.1370, 0.5000)  1 Cu 2.53, 8 Pd 2.53-2.61
Cu (0.6370, 0.8630, 0.5000)  1 Cu 2.53, 8 Pd 2.53-2.61
Cu (0.8630, 0.3630, 0.2261)  1 Cu 2.53, 8 Pd 2.53-2.61
Pd (0.0000, 0.0000, 0.0000)  4 Cu 2.53, 2 Ti 2.80
Pd (0.0038, 0.8128, 0.5000)  3 Cu 2.60-2.61, 2 Ti 2.67, 4 Pd 2.70-2.88
Pd (0.1872, 0.6872, 0.1910)  3 Cu 2.60-2.61, 2 Ti 2.67, 4 Pd 2.70-2.88
Pd (0.3128, 0.5038, 0.5000)  3 Cu 2.60-2.61, 2 Ti 2.67, 4 Pd 2.70-2.88
Pd (0.4962, 0.9962, 0.8091)  3 Cu 2.60-2.61, 2 Ti 2.67, 4 Pd 2.70-2.88
Pd (0.5000, 0.5000, 0.0000)  4 Cu 2.53, 2 Ti 2.80
Pd (0.5038, 0.0038, 0.1910)  3 Cu 2.60-2.61, 2 Ti 2.67, 4 Pd 2.70-2.88
Pd (0.6872, 0.4962, 0.5000)  3 Cu 2.60-2.61, 2 Ti 2.67, 4 Pd 2.70-2.88
Pd (0.8128, 0.3128, 0.8091)  3 Cu 2.60-2.61, 2 Ti 2.67, 4 Pd 2.70-2.88
Pd (0.9962, 0.1872, 0.5000)  3 Cu 2.60-2.61, 2 Ti 2.67, 4 Pd 2.70-2.88



*2*
TiCu2Pd5: optimized geometry, PBE.

Calculated values
DOS(E_F)   2.373 states/eV/f.u.

a b c (Å): 5.4407 10.7779 3.9856
angles (deg): 90.00 90.00 90.00
Last column: nearest neighbours and their distance in Å.
Sites, in units of the cell vectors:
Ti (0.0000, 0.0000, 0.0000)  8 Pd 2.58-2.72, 4 Cu 2.89
Ti (0.5000, 0.5000, 0.0000)  8 Pd 2.58-2.72, 4 Cu 2.89
Cu (0.2167, 0.3690, 0.5000)  10 Pd 2.66-2.81, 2 Ti 2.89
Cu (0.2833, 0.8690, 0.5000)  10 Pd 2.66-2.81, 2 Ti 2.89
Cu (0.7167, 0.1310, 0.5000)  10 Pd 2.66-2.81, 2 Ti 2.89
Cu (0.7833, 0.6310, 0.5000)  10 Pd 2.66-2.81, 2 Ti 2.89
Pd (0.0000, 0.5000, 0.0000)  4 Cu 2.71, 2 Ti 2.72, 6 Pd 2.80-2.83
Pd (0.0404, 0.7615, 0.0000)  1 Ti 2.58, 4 Cu 2.66-2.81, 7 Pd 2.73-2.86
Pd (0.2205, 0.1151, 0.5000)  2 Ti 2.64, 4 Cu 2.67-2.75, 6 Pd 2.79-2.86
Pd (0.2795, 0.6151, 0.5000)  2 Ti 2.64, 4 Cu 2.67-2.75, 6 Pd 2.79-2.86
Pd (0.4596, 0.2615, 0.0000)  1 Ti 2.58, 4 Cu 2.66-2.81, 7 Pd 2.73-2.86
Pd (0.5000, 0.0000, 0.0000)  4 Cu 2.71, 2 Ti 2.72, 6 Pd 2.80-2.83
Pd (0.5404, 0.7385, 0.0000)  1 Ti 2.58, 4 Cu 2.66-2.81, 7 Pd 2.73-2.86
Pd (0.7205, 0.3849, 0.5000)  2 Ti 2.64, 4 Cu 2.67-2.75, 6 Pd 2.79-2.86
Pd (0.7795, 0.8849, 0.5000)  2 Ti 2.64, 4 Cu 2.67-2.75, 6 Pd 2.79-2.86
Pd (0.9596, 0.2385, 0.0000)  1 Ti 2.58, 4 Cu 2.66-2.81, 7 Pd 2.73-2.86



Which structure wins on stability? *2* wins.



*1*
Ti2Cu2Pd3: optimized geometry, PBE.

Calculated values
DOS(E_F)   6.146 states/eV/f.u.

a b c (Å): 12.7705 2.7579 6.5188
angles (deg): 90.00 115.10 90.00
Last column: nearest neighbours and their distance in Å.
Sites, in units of the cell vectors:
Ti (0.1297, 0.0000, 0.3230)  5 Pd 2.61-2.76, 4 Cu 2.72-2.81, 2 Ti 2.76
Ti (0.3703, 0.5000, 0.6770)  5 Pd 2.61-2.76, 4 Cu 2.72-2.81, 2 Ti 2.76
Ti (0.6297, 0.5000, 0.3230)  5 Pd 2.61-2.76, 4 Cu 2.72-2.81, 2 Ti 2.76
Ti (0.8703, 0.0000, 0.6770)  5 Pd 2.61-2.76, 4 Cu 2.72-2.81, 2 Ti 2.76
Cu (0.0763, 0.5000, 0.9323)  1 Cu 2.46, 4 Pd 2.56-2.75, 2 Ti 2.72
Cu (0.4237, 0.0000, 0.0677)  1 Cu 2.46, 4 Pd 2.56-2.75, 2 Ti 2.72
Cu (0.5763, 0.0000, 0.9323)  1 Cu 2.46, 4 Pd 2.56-2.75, 2 Ti 2.72
Cu (0.9237, 0.5000, 0.0677)  1 Cu 2.46, 4 Pd 2.56-2.75, 2 Ti 2.72
Pd (0.0000, 0.5000, 0.5000)  2 Cu 2.56, 4 Ti 2.76, 6 Pd 2.76-2.85
Pd (0.2092, 0.0000, 0.7639)  3 Ti 2.61-2.73, 3 Cu 2.61-2.75, 4 Pd 2.76-2.85
Pd (0.2908, 0.5000, 0.2361)  3 Ti 2.61-2.73, 3 Cu 2.61-2.75, 4 Pd 2.76-2.85
Pd (0.5000, 0.0000, 0.5000)  2 Cu 2.56, 4 Ti 2.76, 6 Pd 2.76-2.85
Pd (0.7092, 0.5000, 0.7639)  3 Ti 2.61-2.73, 3 Cu 2.61-2.75, 4 Pd 2.76-2.85
Pd (0.7908, 0.0000, 0.2361)  3 Ti 2.61-2.73, 3 Cu 2.61-2.75, 4 Pd 2.76-2.85



*2*
Ti2Cu2Pd3: optimized geometry, PBE.

Calculated values
DOS(E_F)   3.742 states/eV/f.u.

a b c (Å): 8.8158 3.7813 6.1291
angles (deg): 90.00 95.08 90.00
Last column: nearest neighbours and their distance in Å.
Sites, in units of the cell vectors:
Ti (0.0796, 0.0000, 0.2263)  6 Pd 2.66-2.82, 5 Cu 2.68-2.79
Ti (0.4204, 0.5000, 0.7737)  6 Pd 2.66-2.82, 5 Cu 2.68-2.79
Ti (0.5796, 0.5000, 0.2263)  6 Pd 2.66-2.82, 5 Cu 2.68-2.79
Ti (0.9204, 0.0000, 0.7737)  6 Pd 2.66-2.82, 5 Cu 2.68-2.79
Cu (0.1357, 0.5000, 0.9334)  3 Cu 2.60-2.83, 4 Pd 2.64-2.81, 5 Ti 2.68-2.79
Cu (0.3643, 0.0000, 0.0666)  3 Cu 2.60-2.83, 4 Pd 2.64-2.81, 5 Ti 2.68-2.79
Cu (0.6357, 0.0000, 0.9334)  3 Cu 2.60-2.83, 4 Pd 2.64-2.81, 5 Ti 2.68-2.79
Cu (0.8643, 0.5000, 0.0666)  3 Cu 2.60-2.83, 4 Pd 2.64-2.81, 5 Ti 2.68-2.79
Pd (0.0000, 0.5000, 0.5000)  4 Ti 2.66, 6 Pd 2.78-2.81, 2 Cu 2.81
Pd (0.2120, 0.0000, 0.6618)  3 Cu 2.64-2.71, 4 Ti 2.68-2.82, 5 Pd 2.78-2.86
Pd (0.2880, 0.5000, 0.3382)  3 Cu 2.64-2.71, 4 Ti 2.68-2.82, 5 Pd 2.78-2.86
Pd (0.5000, 0.0000, 0.5000)  4 Ti 2.66, 6 Pd 2.78-2.81, 2 Cu 2.81
Pd (0.7120, 0.5000, 0.6618)  3 Cu 2.64-2.71, 4 Ti 2.68-2.82, 5 Pd 2.78-2.86
Pd (0.7880, 0.0000, 0.3382)  3 Cu 2.64-2.71, 4 Ti 2.68-2.82, 5 Pd 2.78-2.86



Which structure wins on stability? *2* wins.



*1*
Ti6CuPd5: optimized geometry, PBE.

Calculated values
DOS(E_F)   14.477 states/eV/f.u.

a b c (Å): 4.9507 4.9507 8.9292
angles (deg): 94.79 94.79 118.74
Last column: nearest neighbours and their distance in Å.
Sites, in units of the cell vectors:
Ti (0.0832, 0.4099, 0.7489)  5 Pd 2.74-2.80, 1 Cu 2.74, 6 Ti 2.78-2.92
Ti (0.2441, 0.2441, 0.2520)  1 Cu 2.70, 5 Pd 2.77-2.78, 6 Ti 2.84-2.92
Ti (0.4099, 0.0832, 0.7489)  5 Pd 2.74-2.80, 1 Cu 2.74, 6 Ti 2.78-2.92
Ti (0.5901, 0.9168, 0.2511)  5 Pd 2.74-2.80, 1 Cu 2.74, 6 Ti 2.78-2.92
Ti (0.7559, 0.7559, 0.7480)  1 Cu 2.70, 5 Pd 2.77-2.78, 6 Ti 2.84-2.92
Ti (0.9168, 0.5901, 0.2511)  5 Pd 2.74-2.80, 1 Cu 2.74, 6 Ti 2.78-2.92
Cu (0.0000, 0.0000, 0.5000)  6 Ti 2.70-2.74, 6 Pd 2.82-2.90
Pd (0.1664, 0.8336, 0.0000)  6 Ti 2.74-2.80, 6 Pd 2.84-2.90
Pd (0.3311, 0.6689, 0.5000)  6 Ti 2.74-2.78, 3 Cu 2.82-2.90, 3 Pd 2.88
Pd (0.5000, 0.5000, 0.0000)  6 Ti 2.77, 6 Pd 2.84-2.89
Pd (0.6689, 0.3311, 0.5000)  6 Ti 2.74-2.78, 3 Cu 2.82-2.90, 3 Pd 2.88
Pd (0.8336, 0.1664, 0.0000)  6 Ti 2.74-2.80, 6 Pd 2.84-2.90



*2*
Ti6CuPd5: optimized geometry, PBE.

Calculated values
DOS(E_F)   13.081 states/eV/f.u.

a b c (Å): 7.4091 7.4091 7.4091
angles (deg): 148.89 116.50 72.40
Last column: nearest neighbours and their distance in Å.
Sites, in units of the cell vectors:
Ti (0.0829, 0.3340, 0.7489)  1 Cu 2.78, 7 Pd 2.78-2.84, 4 Ti 2.81-2.83
Ti (0.2479, 0.0000, 0.2479)  6 Pd 2.73-2.81, 2 Cu 2.77, 4 Ti 2.81
Ti (0.4148, 0.6660, 0.7489)  1 Cu 2.78, 7 Pd 2.78-2.84, 4 Ti 2.81-2.83
Ti (0.5852, 0.3340, 0.2511)  1 Cu 2.78, 7 Pd 2.78-2.84, 4 Ti 2.81-2.83
Ti (0.7521, 0.0000, 0.7521)  6 Pd 2.73-2.81, 2 Cu 2.77, 4 Ti 2.81
Ti (0.9171, 0.6660, 0.2511)  1 Cu 2.78, 7 Pd 2.78-2.84, 4 Ti 2.81-2.83
Cu (0.0000, 0.5000, 0.5000)  8 Ti 2.77-2.78, 4 Pd 2.77
Pd (0.1618, 0.1618, 0.0000)  8 Ti 2.73-2.84, 2 Cu 2.77, 2 Pd 2.85
Pd (0.3321, 0.8321, 0.5000)  8 Ti 2.78-2.81, 4 Pd 2.83-2.85
Pd (0.5000, 0.5000, 0.0000)  8 Ti 2.79-2.80, 4 Pd 2.83
Pd (0.6679, 0.1679, 0.5000)  8 Ti 2.78-2.81, 4 Pd 2.83-2.85
Pd (0.8382, 0.8382, 0.0000)  8 Ti 2.73-2.84, 2 Cu 2.77, 2 Pd 2.85



Which structure wins on stability? *2* wins.